[1]
# PBE-GGA Ac3NdY2S6, optimized geometry
# * formation energy (no corrections): -1997 meV/atom
data_Ac3NdY2S6
_symmetry_space_group_name_H-M 'C 1 2/m 1'
_symmetry_Int_Tables_number 12
_cell_length_a 7.074
_cell_length_b 12.280
_cell_length_c 7.307
_cell_angle_alpha 90.00
_cell_angle_beta 108.95
_cell_angle_gamma 90.00
loop_
_symmetry_equiv_pos_as_xyz
'x,y,z'
'-x,-y,-z'
'-x,y,-z'
'x,-y,z'
'x+1/2,y+1/2,z'
'-x+1/2,-y+1/2,-z'
'-x+1/2,y+1/2,-z'
'x+1/2,-y+1/2,z'
loop_
_atom_site_label
_atom_site_type_symbol
_atom_site_fract_x
_atom_site_fract_y
_atom_site_fract_z
Ac1 Ac 0.000 0.000 0.000
Ac2 Ac 0.000 0.336 0.000
Nd1 Nd 0.000 0.500 0.500
Y1 Y 0.000 0.167 0.500
S1 S 0.232 0.000 0.722
S2 S 0.246 0.329 0.725

=====

[2]
# PBE-GGA SrY2NiHg, optimized geometry
# * ΔE_f: 0.63 eV/atom
data_SrY2NiHg
_symmetry_space_group_name_H-M 'P 4/m m m'
_symmetry_Int_Tables_number 123
_symmetry_space_group_name_Hall '-P 4 2'
_cell_length_a 5.625
_cell_length_b 5.625
_cell_length_c 5.966
_cell_angle_alpha 90.00
_cell_angle_beta 90.00
_cell_angle_gamma 90.00
loop_
_atom_site_label
_atom_site_type_symbol
_atom_site_fract_x
_atom_site_fract_y
_atom_site_fract_z
Sr1 Sr 0.000 0.000 0.000
Y1 Y 0.000 0.500 0.500
Ni1 Ni 0.500 0.500 0.000
Hg1 Hg 0.000 0.000 0.500

=====

[3]
# PBE-GGA KZr2Ni, optimized geometry
# * ΔE_f: 0.37 eV/atom
data_KZr2Ni
_symmetry_space_group_name_H-M 'I m m 2'
_symmetry_Int_Tables_number 44
_cell_length_a 3.339
_cell_length_b 3.656
_cell_length_c 18.961
_cell_angle_alpha 90.00
_cell_angle_beta 90.00
_cell_angle_gamma 90.00
loop_
_symmetry_equiv_pos_as_xyz
'x,y,z'
'-x,-y,z'
'-x,y,z'
'x,-y,z'
'x+1/2,y+1/2,z+1/2'
'-x+1/2,-y+1/2,z+1/2'
'-x+1/2,y+1/2,z+1/2'
'x+1/2,-y+1/2,z+1/2'
loop_
_atom_site_label
_atom_site_type_symbol
_atom_site_fract_x
_atom_site_fract_y
_atom_site_fract_z
K1 K 0.000 0.000 0.000
Zr1 Zr 0.000 0.000 0.675
Zr2 Zr 0.000 0.500 0.313
Ni1 Ni 0.000 0.500 0.772

=====

[4]
# PBE-GGA CeScBe, optimized geometry
# * ΔE_f: 0.11 eV/atom
data_CeScBe
_symmetry_space_group_name_H-M 'I 4 m m'
_symmetry_Int_Tables_number 107
_symmetry_space_group_name_Hall 'I 4 -2'
_cell_length_a 3.116
_cell_length_b 3.116
_cell_length_c 12.689
_cell_angle_alpha 90.00
_cell_angle_beta 90.00
_cell_angle_gamma 90.00
loop_
_atom_site_label
_atom_site_type_symbol
_atom_site_fract_x
_atom_site_fract_y
_atom_site_fract_z
Ce1 Ce 0.000 0.000 0.000
Sc1 Sc 0.000 0.000 0.278
Be1 Be 0.000 0.000 0.652

=====

[5]
# PBE-GGA Cs2CaTeO6, optimized geometry
# * formation energy (no corrections): -1418 meV/atom
data_Cs2CaTeO6
_symmetry_space_group_name_H-M 'P -3 m 1'
_symmetry_Int_Tables_number 164
_symmetry_space_group_name_Hall '-P 3 2"'
_cell_length_a 6.8163
_cell_length_b 6.8163
_cell_length_c 6.0502
_cell_angle_alpha 90.00
_cell_angle_beta 90.00
_cell_angle_gamma 120.00
loop_
_atom_site_label
_atom_site_type_symbol
_atom_site_fract_x
_atom_site_fract_y
_atom_site_fract_z
Cs1 Cs 0.3333 0.6667 0.3501
Ca1 Ca 0.0000 0.0000 0.0000
Te1 Te 0.0000 0.0000 0.5000
O1 O 0.1307 0.2614 0.6962

=====

[6]
# PBE-GGA VRh2Au2, optimized geometry
# * ΔE_f: -0.15 eV/atom
data_VRh2Au2
_symmetry_space_group_name_H-M 'I 4/m m m'
_symmetry_Int_Tables_number 139
_symmetry_space_group_name_Hall '-I 4 2'
_cell_length_a 2.799
_cell_length_b 2.799
_cell_length_c 19.883
_cell_angle_alpha 90.00
_cell_angle_beta 90.00
_cell_angle_gamma 90.00
loop_
_atom_site_label
_atom_site_type_symbol
_atom_site_fract_x
_atom_site_fract_y
_atom_site_fract_z
V1 V 0.000 0.000 0.000
Rh1 Rh 0.000 0.000 0.415
Au1 Au 0.000 0.000 0.193

=====

| no. | DOS(E_F) (states/eV/cell) | M_tot (μB per cell) |
| --- | --- | --- |
| 1 | 11.0 | 0.000 |
| 2 | 10.7 | 0.000 |
| 3 | 5.9 | 0.000 |
| 4 | 11.4 | 0.001 |
| 5 | 5.0 | 2.017 |
| 6 | 9.3 | 0.021 |